Compound: Zr2AsPb
Source: the Alexandria database
Functional: GGA-PBE
Structure: optimized geometry

Geometry as POSCAR:
```
Zr2AsPb
1.0
-2.0949 2.0949 4.9969
2.0949 -2.0949 4.9969
2.0949 2.0949 -4.9969
Zr As Pb
2 1 1
Direct
0.0000 0.0000 0.0000
0.7500 0.2500 0.5000
0.2500 0.7500 0.5000
0.5000 0.5000 0.0000
```

Output
For the total magnetic moment, the calculation gives 0.001 μB per cell. The calculation puts the energy above the most stable polymorph in this dataset at 362.7 meV per atom. The calculation puts the energy of formation at -0.276 eV per atom.